Record 1
ZrSeO2 | GGA-PBE | relaxed

Raw total energy ... -7.279 eV/atom
Raw formation energy ... -1.7921 eV/atom
Symmetry ... I-42d
Crystal system ... tetragonal

a = 6.449 Å, b = 6.449 Å, c = 6.456 Å
α = 60.04°, β = 60.04°, γ = 90.00°
Positions (direct):
Zr 0.000 0.000 0.000
O 0.868 0.125 0.250
Se 0.500 0.500 0.000
O 0.875 0.118 0.750
O 0.375 0.132 0.750
Zr 0.750 0.250 0.500
O 0.882 0.625 0.250
Se 0.250 0.750 0.500

=====

Record 2
Zn2InCl | GGA-PBE | relaxed

Raw total energy ... -1.871 eV/atom
Raw formation energy ... -0.0875 eV/atom
Symmetry ... P2/m
Distance to the lowest polymorph of the same formula ... 112 meV/atom
Crystal system ... monoclinic

a = 5.657 Å, b = 3.455 Å, c = 4.725 Å
α = 87.50°, β = 90.00°, γ = 90.00°
Positions (direct):
Zn 0.000 0.534 0.499
Cl 0.500 0.250 0.250
In 0.500 0.750 0.750
Zn 0.000 0.966 0.001